Record 1
The following is a DFT calculation (PBEsol) of crystalline ReTcW2 at its relaxed geometry.

Output
Formation enthalpy at 0 K: 0.09 eV per atom
Crystal system: orthorhombic
Fermi-level density of states: 5.5 states/eV/cell
Energy above the most stable polymorph in this dataset: 0.01 eV/f.u.

Unit cell a=3.112 b=4.391 c=8.826 alpha=90.00 beta=90.00 gamma=90.00
Atoms (fractional coordinates):
Re: 0.000 0.000 0.000
Re: 0.500 0.500 0.500
Tc: 0.000 0.500 0.763
Tc: 0.500 0.000 0.263
W: 0.000 0.000 0.513
W: 0.000 0.500 0.253
W: 0.500 0.000 0.753
W: 0.500 0.500 0.013

***

Record 2
The following is a DFT calculation (PBEsol) of crystalline MgZn2ReH at its relaxed geometry.

Output
Crystal system: tetragonal
Fermi-level density of states: 3.3 states/eV/cell
Total DFT energy (no corrections): -2.793 eV per atom

Unit cell a=4.818 b=4.818 c=5.213 alpha=90.00 beta=90.00 gamma=90.00
Atoms (fractional coordinates):
Mg: 0.000 0.000 0.000
Zn: 0.000 0.500 0.500
Zn: 0.500 0.000 0.500
Re: 0.000 0.000 0.500
H: 0.500 0.500 0.000

***

Record 3
The following is a DFT calculation (PBEsol) of crystalline BeOs at its relaxed geometry.

Output
Formation enthalpy at 0 K: -0.11 eV per atom
Crystal system: orthorhombic
Fermi-level density of states: 4.2 states/eV/cell

Unit cell a=2.777 b=8.265 c=3.712 alpha=90.00 beta=90.00 gamma=90.00
Atoms (fractional coordinates):
Be: 0.000 0.073 0.250
Be: 0.000 0.927 0.750
Be: 0.500 0.427 0.750
Be: 0.500 0.573 0.250
Os: 0.000 0.348 0.250
Os: 0.000 0.652 0.750
Os: 0.500 0.152 0.750
Os: 0.500 0.848 0.250

***

Record 4
The following is a DFT calculation (PBEsol) of crystalline TaRh2Au at its relaxed geometry.

Output
Formation enthalpy at 0 K: -0.08 eV per atom
Crystal system: monoclinic
Fermi-level density of states: 5.9 states/eV/cell

Unit cell a=5.548 b=9.087 c=2.763 alpha=90.00 beta=118.34 gamma=90.00
Atoms (fractional coordinates):
Ta: 0.000 0.000 0.000
Ta: 0.500 0.500 0.000
Rh: 0.250 0.250 0.500
Rh: 0.250 0.750 0.500
Rh: 0.750 0.250 0.500
Rh: 0.750 0.750 0.500
Au: 0.000 0.500 0.000
Au: 0.500 0.000 0.000

***

Record 5
The following is a DFT calculation (PBEsol) of crystalline NiAg2Ru at its relaxed geometry.

Output
Formation enthalpy at 0 K: 0.45 eV per atom
Crystal system: monoclinic
Fermi-level density of states: 9.0 states/eV/cell
Energy above the most stable polymorph in this dataset: 0.00 eV/f.u.

Unit cell a=9.265 b=2.653 c=4.699 alpha=90.00 beta=100.11 gamma=90.00
Atoms (fractional coordinates):
Ni: 0.000 0.000 0.000
Ni: 0.500 0.500 0.000
Ag: 0.246 0.500 0.246
Ag: 0.254 0.000 0.754
Ag: 0.746 0.000 0.246
Ag: 0.754 0.500 0.754
Ru: 0.000 0.500 0.500
Ru: 0.500 0.000 0.500

***

Record 6
The following is a DFT calculation (PBEsol) of crystalline Ca2TlRh at its relaxed geometry.

Output
Formation enthalpy at 0 K: -0.30 eV per atom
Crystal system: orthorhombic
Fermi-level density of states: 4.8 states/eV/cell
Energy above the most stable polymorph in this dataset: 0.17 eV/f.u.

Unit cell a=4.360 b=4.197 c=11.037 alpha=90.00 beta=90.00 gamma=90.00
Atoms (fractional coordinates):
Ca: 0.000 0.000 0.000
Ca: 0.000 0.500 0.500
Ca: 0.500 0.000 0.291
Ca: 0.500 0.500 0.791
Tl: 0.500 0.000 0.581
Tl: 0.500 0.500 0.081
Rh: 0.000 0.000 0.725
Rh: 0.000 0.500 0.225

***

Record 7
The following is a DFT calculation (PBEsol) of crystalline LiMgPb2 at its relaxed geometry.

Output
Formation enthalpy at 0 K: -0.20 eV per atom
Crystal system: tetragonal
Fermi-level density of states: 1.4 states/eV/cell

Unit cell a=3.607 b=3.607 c=7.218 alpha=90.00 beta=90.00 gamma=90.00
Atoms (fractional coordinates):
Li: 0.000 0.000 0.000
Mg: 0.000 0.000 0.500
Pb: 0.500 0.500 0.241
Pb: 0.500 0.500 0.759

***

Record 8
The following is a DFT calculation (PBEsol) of crystalline Tl3BSe3 at its relaxed geometry.

Output
Crystal system: monoclinic
ΔE_f (raw): -1.8 eV/f.u.

Unit cell a=5.490 b=10.071 c=6.740 alpha=90.00 beta=96.45 gamma=90.00
Atoms (fractional coordinates):
Tl: 0.197 0.250 0.017
Tl: 0.270 0.556 0.666
Tl: 0.270 0.944 0.666
Tl: 0.730 0.056 0.334
Tl: 0.730 0.444 0.334
Tl: 0.803 0.750 0.983
B: 0.389 0.750 0.260
B: 0.611 0.250 0.740
Se: 0.241 0.581 0.166
Se: 0.241 0.919 0.166
Se: 0.316 0.250 0.547
Se: 0.684 0.750 0.453
Se: 0.759 0.081 0.834
Se: 0.759 0.419 0.834

***

Record 9
The following is a DFT calculation (PBEsol) of crystalline KBaRe2F at its relaxed geometry.

Output
Crystal system: tetragonal
Fermi-level density of states: 4.6 states/eV/cell
ΔE_f (raw): 8.8 eV/f.u.

Unit cell a=6.273 b=6.273 c=4.840 alpha=90.00 beta=90.00 gamma=90.00
Atoms (fractional coordinates):
K: 0.000 0.000 0.000
Ba: 0.500 0.500 0.500
Re: 0.000 0.500 0.500
Re: 0.500 0.000 0.500
F: 0.500 0.500 0.000

***

Record 10
The following is a DFT calculation (PBEsol) of crystalline YTlFe at its relaxed geometry.

Output
Formation enthalpy at 0 K: 0.50 eV per atom
Crystal system: cubic
Fermi-level density of states: 27.2 states/eV/cell

Unit cell a=6.654 b=6.654 c=6.654 alpha=90.00 beta=90.00 gamma=90.00
Atoms (fractional coordinates):
Y: 0.000 0.000 0.000
Y: 0.000 0.500 0.500
Y: 0.500 0.000 0.500
Y: 0.500 0.500 0.000
Tl: 0.250 0.250 0.250
Tl: 0.250 0.750 0.750
Tl: 0.750 0.250 0.750
Tl: 0.750 0.750 0.250
Fe: 0.000 0.000 0.500
Fe: 0.000 0.500 0.000
Fe: 0.500 0.000 0.000
Fe: 0.500 0.500 0.500

***

Record 11
The following is a DFT calculation (PBEsol) of crystalline K2CoRu at its relaxed geometry.

Output
Formation enthalpy at 0 K: 0.76 eV per atom
Crystal system: orthorhombic
Fermi-level density of states: 3.8 states/eV/cell

Unit cell a=2.747 b=3.679 c=9.933 alpha=90.00 beta=90.00 gamma=90.00
Atoms (fractional coordinates):
K: 0.000 0.000 0.000
K: 0.500 0.500 0.434
Co: 0.000 0.000 0.677
Ru: 0.500 0.500 0.750

***

Record 12
The following is a DFT calculation (PBEsol) of crystalline Mn2NbNi3P6O24 at its relaxed geometry.

Output
Crystal system: trigonal
Fermi-level density of states: 17.4 states/eV/cell
ΔE_f (raw): -64.4 eV/f.u.

Unit cell a=8.391 b=8.391 c=8.391 alpha=61.08 beta=61.08 gamma=61.08
Atoms (fractional coordinates):
Mn: 0.000 0.000 0.000
Mn: 0.496 0.496 0.496
Nb: 0.642 0.642 0.642
Ni: 0.141 0.141 0.141
Ni: 0.357 0.357 0.357
Ni: 0.859 0.859 0.859
P: 0.052 0.456 0.753
P: 0.241 0.967 0.539
P: 0.456 0.753 0.052
P: 0.539 0.241 0.967
P: 0.753 0.052 0.456
P: 0.967 0.539 0.241
O: 0.017 0.617 0.811
O: 0.048 0.257 0.911
O: 0.082 0.951 0.744
O: 0.113 0.505 0.319
O: 0.179 0.992 0.386
O: 0.251 0.431 0.591
O: 0.257 0.911 0.048
O: 0.319 0.113 0.505
O: 0.386 0.179 0.992
O: 0.402 0.758 0.568
O: 0.431 0.591 0.251
O: 0.505 0.319 0.113
O: 0.509 0.676 0.890
O: 0.568 0.402 0.758
O: 0.591 0.251 0.431
O: 0.617 0.811 0.017
O: 0.676 0.890 0.509
O: 0.744 0.082 0.951
O: 0.758 0.568 0.402
O: 0.811 0.017 0.617
O: 0.890 0.509 0.676
O: 0.911 0.048 0.257
O: 0.951 0.744 0.082
O: 0.992 0.386 0.179

***

Q: Which formula does entry 11 have?
A: K2CoRu